(1)
The following is a DFT calculation (PBE) of a relaxed structure of KLi2MgH.

a = 6.196 Å, b = 3.812 Å, c = 6.196 Å
α = 90.00°, β = 90.00°, γ = 90.00°
Fractional coordinates of all 5 atoms:
K1 0.500 0.500 0.500
Li1 0.500 0.000 0.000
Li2 0.000 0.000 0.500
Mg1 0.000 0.000 0.000
H1 0.000 0.500 0.000

crystal system = tetragonal
DOS at the Fermi energy = 0.495 states/eV/atom
SG = P4/mmm (123)
VASP energy = -1.641 eV/atom
total magnetic moment = 0.000 μB per atom

***

(2)
The following is a DFT calculation (PBE) of a relaxed structure of NaPm2AgO5.

a = 5.933 Å, b = 6.737 Å, c = 6.737 Å
α = 90.00°, β = 90.00°, γ = 90.00°
Fractional coordinates of all 18 atoms:
Pm1 0.500 0.176 0.324
Pm2 0.500 0.824 0.676
Pm3 0.500 0.676 0.176
Pm4 0.500 0.324 0.824
Na1 0.000 0.500 0.500
Na2 0.000 0.000 0.000
O1 0.500 0.000 0.000
O2 0.255 0.863 0.363
O3 0.500 0.500 0.500
O4 0.745 0.863 0.363
O5 0.255 0.637 0.863
O6 0.255 0.137 0.637
O7 0.745 0.137 0.637
O8 0.255 0.363 0.137
O9 0.745 0.637 0.863
O10 0.745 0.363 0.137
Ag1 0.000 0.000 0.500
Ag2 0.000 0.500 0.000

crystal system = tetragonal
SG = P4/mbm (127)
VASP energy = -6.372 eV/atom
total magnetic moment = 0.000 μB per atom

***

(3)
The following is a DFT calculation (PBE) of a relaxed structure of Zr2Al2Ni.

a = 3.945 Å, b = 5.237 Å, c = 8.937 Å
α = 90.00°, β = 90.00°, γ = 90.00°
Fractional coordinates of all 10 atoms:
Zr1 0.000 0.400 0.181
Zr2 0.000 0.900 0.319
Zr3 0.000 0.100 0.681
Zr4 0.000 0.600 0.819
Al1 0.500 0.766 0.070
Al2 0.500 0.734 0.570
Al3 0.500 0.234 0.930
Al4 0.500 0.266 0.430
Ni1 0.000 0.000 0.000
Ni2 0.000 0.500 0.500

crystal system = orthorhombic
DOS at the Fermi energy = 0.424 states/eV/atom
SG = Pbam (55)
formation enthalpy at 0 K = -253 meV per atom
VASP energy = -6.326 eV/atom
total magnetic moment = 0.000 μB per atom
distance to the lowest polymorph of the same formula = 1.23 eV/f.u.

***

(4)
The following is a DFT calculation (PBE) of a relaxed structure of DyAlAu.

a = 3.354 Å, b = 3.354 Å, c = 6.033 Å
α = 106.14°, β = 106.14°, γ = 90.00°
Fractional coordinates of all 3 atoms:
Dy1 0.953 0.953 0.906
Au1 0.636 0.636 0.272
Al1 0.261 0.261 0.522

crystal system = tetragonal
DOS at the Fermi energy = 0.670 states/eV/atom
SG = I4mm (107)
formation enthalpy at 0 K = -547 meV per atom
VASP energy = -4.421 eV/atom
total magnetic moment = 0.005 μB per atom

***

(5)
The following is a DFT calculation (PBE) of a relaxed structure of La3Sm8Dy3.

a = 5.782 Å, b = 9.862 Å, c = 9.862 Å
α = 102.46°, β = 72.95°, γ = 72.95°
Fractional coordinates of all 14 atoms:
Sm1 0.839 0.559 0.763
Sm2 0.338 0.443 0.880
Sm3 0.839 0.763 0.559
Sm4 0.338 0.880 0.443
Sm5 0.662 0.557 0.120
Sm6 0.662 0.120 0.557
Sm7 0.161 0.237 0.441
Sm8 0.161 0.441 0.237
La1 0.000 0.817 0.183
La2 0.000 0.183 0.817
La3 0.500 0.000 0.000
Dy1 0.798 0.202 0.202
Dy2 0.500 0.500 0.500
Dy3 0.202 0.798 0.798

crystal system = orthorhombic
DOS at the Fermi energy = 1.484 states/eV/atom
SG = Immm (71)
formation enthalpy at 0 K = 95 meV per atom
VASP energy = -4.644 eV/atom
total magnetic moment = 0.000 μB per atom

***

(6)
The following is a DFT calculation (PBE) of a relaxed structure of Cs3HO.

a = 5.840 Å, b = 5.840 Å, c = 5.840 Å
α = 90.00°, β = 90.00°, γ = 90.00°
Fractional coordinates of all 5 atoms:
Cs1 0.000 0.000 0.500
Cs2 0.500 0.000 0.000
Cs3 0.000 0.500 0.000
H1 0.500 0.500 0.500
O1 0.000 0.000 0.000

crystal system = cubic
DOS at the Fermi energy = 0.000 states/eV/atom
SG = Pm-3m (221)
VASP energy = -2.708 eV/atom
total magnetic moment = 0.000 μB per atom
distance to the lowest polymorph of the same formula = 0.00 eV/f.u.

***

(7)
The following is a DFT calculation (PBE) of a relaxed structure of Sr2Au2Se.

a = 8.251 Å, b = 8.251 Å, c = 4.098 Å
α = 90.00°, β = 90.00°, γ = 90.00°
Fractional coordinates of all 10 atoms:
Sr1 0.317 0.183 0.500
Sr2 0.683 0.817 0.500
Sr3 0.183 0.683 0.500
Sr4 0.817 0.317 0.500
Se1 0.500 0.500 0.000
Se2 0.000 0.000 0.000
Au1 0.118 0.382 0.000
Au2 0.382 0.882 0.000
Au3 0.618 0.118 0.000
Au4 0.882 0.618 0.000

crystal system = tetragonal
DOS at the Fermi energy = 0.307 states/eV/atom
SG = P4/mbm (127)
VASP energy = -3.582 eV/atom
total magnetic moment = 0.000 μB per atom
distance to the lowest polymorph of the same formula = 0.00 eV/f.u.

***

(8)
The following is a DFT calculation (PBE) of a relaxed structure of Ho6SnRu2.

a = 8.451 Å, b = 8.451 Å, c = 8.451 Å
α = 103.68°, β = 111.78°, γ = 113.11°
Fractional coordinates of all 18 atoms:
Ho1 0.688 0.356 0.668
Ho2 0.207 0.761 0.967
Ho3 0.312 0.980 0.668
Ho4 0.107 0.289 0.818
Ho5 0.793 0.239 0.033
Ho6 0.312 0.644 0.332
Ho7 0.207 0.239 0.446
Ho8 0.470 0.289 0.182
Ho9 0.793 0.761 0.554
Ho10 0.688 0.020 0.332
Ho11 0.893 0.711 0.182
Ho12 0.530 0.711 0.818
Sn1 0.000 0.500 0.500
Sn2 0.000 0.000 0.000
Ru1 0.326 0.000 0.326
Ru2 0.674 0.000 0.674
Ru3 0.500 0.631 0.131
Ru4 0.500 0.369 0.869

crystal system = orthorhombic
DOS at the Fermi energy = 0.754 states/eV/atom
SG = Immm (71)
formation enthalpy at 0 K = -461 meV per atom
VASP energy = -6.019 eV/atom
total magnetic moment = 0.000 μB per atom

***

(9)
The following is a DFT calculation (PBE) of a relaxed structure of Sc2BeZn.

a = 8.479 Å, b = 8.479 Å, c = 8.479 Å
α = 22.11°, β = 22.11°, γ = 22.11°
Each line ends with the local moment (μB).
Fractional coordinates of all 4 atoms:
Be1 0.760 0.760 0.760  -0.01
Sc1 0.015 0.015 0.015  0.20
Sc2 0.240 0.240 0.240  0.25
Zn1 0.484 0.484 0.484  0.00

crystal system = trigonal
DOS at the Fermi energy = 0.624 states/eV/atom
SG = R3m (160)
formation enthalpy at 0 K = 167 meV per atom
VASP energy = -4.249 eV/atom
total magnetic moment = 0.188 μB per atom
distance to the lowest polymorph of the same formula = 1.51 eV/f.u.

***

(10)
The following is a DFT calculation (PBE) of a relaxed structure of LiMoAu.

a = 2.794 Å, b = 2.794 Å, c = 7.233 Å
α = 90.00°, β = 90.00°, γ = 120.00°
Fractional coordinates of all 3 atoms:
Mo1 0.333 0.667 0.669
Li1 0.667 0.333 0.323
Au1 0.000 0.000 0.008

crystal system = trigonal
DOS at the Fermi energy = 0.815 states/eV/atom
SG = P3m1 (156)
formation enthalpy at 0 K = 228 meV per atom
VASP energy = -5.113 eV/atom
total magnetic moment = 0.000 μB per atom
distance to the lowest polymorph of the same formula = 0.65 eV/f.u.

***

(11)
The following is a DFT calculation (PBE) of a relaxed structure of Ac2TmTe3Rh4.

a = 4.541 Å, b = 4.541 Å, c = 11.309 Å
α = 90.00°, β = 90.00°, γ = 90.00°
Each line ends with the local moment (μB).
Fractional coordinates of all 10 atoms:
Ac1 0.000 0.500 0.775  0.00
Ac2 0.500 0.000 0.225  0.00
Te1 0.000 0.000 0.500  0.00
Te2 0.000 0.500 0.130  0.02
Te3 0.500 0.000 0.870  0.02
Rh1 0.500 0.000 0.637  0.01
Rh2 0.000 0.500 0.363  0.01
Rh3 0.000 0.000 0.000  0.28
Rh4 0.500 0.500 0.000  0.27
Tm1 0.500 0.500 0.500  0.00

crystal system = tetragonal
DOS at the Fermi energy = 0.766 states/eV/atom
SG = P-4m2 (115)
VASP energy = -6.026 eV/atom
total magnetic moment = 0.062 μB per atom

***

(12)
The following is a DFT calculation (PBE) of a relaxed structure of BaPtW2N.

a = 5.510 Å, b = 5.425 Å, c = 5.510 Å
α = 90.00°, β = 90.00°, γ = 90.00°
Each line ends with the local moment (μB).
Fractional coordinates of all 5 atoms:
N1 0.500 0.500 0.500  1.77
W1 0.000 0.000 0.500  2.18
W2 0.500 0.000 0.000  2.52
Ba1 0.000 0.000 0.000  0.05
Pt1 0.000 0.500 0.000  0.17

crystal system = tetragonal
DOS at the Fermi energy = 1.415 states/eV/atom
SG = P4/mmm (123)
VASP energy = -4.006 eV/atom
total magnetic moment = 1.811 μB per atom

***

(13)
The following is a DFT calculation (PBE) of a relaxed structure of La3Tb6SmTh2.

a = 6.274 Å, b = 6.274 Å, c = 11.877 Å
α = 95.06°, β = 95.06°, γ = 119.99°
Fractional coordinates of all 12 atoms:
Th1 0.333 0.667 0.000
Th2 0.667 0.333 0.000
Sm1 0.000 0.000 0.000
La1 0.500 0.500 0.500
La2 0.166 0.834 0.500
La3 0.834 0.166 0.500
Tb1 0.743 0.743 0.243
Tb2 0.581 0.919 0.757
Tb3 0.919 0.581 0.757
Tb4 0.081 0.419 0.243
Tb5 0.419 0.081 0.243
Tb6 0.257 0.257 0.757

crystal system = monoclinic
DOS at the Fermi energy = 1.355 states/eV/atom
SG = C2/m (12)
formation enthalpy at 0 K = 22 meV per atom
VASP energy = -5.155 eV/atom
total magnetic moment = 0.000 μB per atom

***

(14)
The following is a DFT calculation (PBE) of a relaxed structure of Sr3In2Ga4.

a = 4.514 Å, b = 6.638 Å, c = 10.666 Å
α = 59.17°, β = 77.78°, γ = 70.12°
Fractional coordinates of all 9 atoms:
Sr1 0.335 0.660 0.670
Sr2 0.000 0.000 0.000
Sr3 0.665 0.340 0.330
Ga1 0.053 0.290 0.604
Ga2 0.722 0.601 0.955
Ga3 0.947 0.710 0.396
Ga4 0.278 0.399 0.045
In1 0.614 0.050 0.722
In2 0.386 0.950 0.278

crystal system = monoclinic
DOS at the Fermi energy = 0.552 states/eV/atom
SG = C2/m (12)
formation enthalpy at 0 K = -438 meV per atom
VASP energy = -2.953 eV/atom
total magnetic moment = 0.000 μB per atom

***

(15)
The following is a DFT calculation (PBE) of a relaxed structure of Dy2C.

a = 3.592 Å, b = 3.592 Å, c = 7.423 Å
α = 118.97°, β = 118.97°, γ = 60.01°
Each line ends with the local moment (μB).
Fractional coordinates of all 3 atoms:
Dy1 0.021 0.021 0.781  0.12
Dy2 0.979 0.979 0.219  0.12
C1 0.500 0.500 0.000  -0.01

crystal system = trigonal
DOS at the Fermi energy = 0.760 states/eV/atom
SG = R-3m (166)
formation enthalpy at 0 K = -282 meV per atom
VASP energy = -6.424 eV/atom
total magnetic moment = 0.132 μB per atom

***

(16)
The following is a DFT calculation (PBE) of a relaxed structure of BaAlRe3.

a = 4.748 Å, b = 4.748 Å, c = 4.748 Å
α = 90.00°, β = 90.00°, γ = 90.00°
Each line ends with the local moment (μB).
Fractional coordinates of all 5 atoms:
Re1 0.500 0.000 0.000  0.03
Re2 0.000 0.500 0.000  0.03
Re3 0.000 0.000 0.500  0.06
Al1 0.000 0.000 0.000  0.00
Ba1 0.500 0.500 0.500  0.01

crystal system = cubic
DOS at the Fermi energy = 1.441 states/eV/atom
SG = Pm-3m (221)
formation enthalpy at 0 K = 1793 meV per atom
VASP energy = -6.809 eV/atom
total magnetic moment = 0.032 μB per atom
distance to the lowest polymorph of the same formula = 0.00 eV/f.u.

***

(17)
The following is a DFT calculation (PBE) of a relaxed structure of Pm3Sm2Tm6.

a = 6.122 Å, b = 6.129 Å, c = 11.575 Å
α = 84.92°, β = 79.80°, γ = 60.04°
Fractional coordinates of all 11 atoms:
Sm1 0.833 0.333 0.500
Sm2 0.167 0.667 0.500
Tm1 0.583 0.333 0.251
Tm2 0.916 0.667 0.251
Tm3 0.417 0.667 0.749
Tm4 0.250 0.000 0.251
Tm5 0.084 0.333 0.749
Tm6 0.750 0.000 0.749
Pm1 0.336 0.328 0.000
Pm2 0.000 0.000 0.000
Pm3 0.664 0.672 0.000

crystal system = monoclinic
DOS at the Fermi energy = 1.470 states/eV/atom
SG = C2/m (12)
formation enthalpy at 0 K = 193 meV per atom
VASP energy = -4.399 eV/atom
total magnetic moment = 0.000 μB per atom
distance to the lowest polymorph of the same formula = 0.00 eV/f.u.

***

(18)
The following is a DFT calculation (PBE) of a relaxed structure of LiCoSbRu.

a = 4.279 Å, b = 4.279 Å, c = 4.279 Å
α = 60.00°, β = 60.00°, γ = 60.00°
Fractional coordinates of all 4 atoms:
Sb1 0.250 0.250 0.250
Ru1 0.500 0.500 0.500
Co1 0.000 0.000 0.000
Li1 0.750 0.750 0.750

crystal system = cubic
DOS at the Fermi energy = 0.579 states/eV/atom
SG = F-43m (216)
VASP energy = -5.745 eV/atom
total magnetic moment = 0.000 μB per atom

***

(19)
The following is a DFT calculation (PBE) of a relaxed structure of Ni2Bi2Pb.

a = 7.689 Å, b = 7.689 Å, c = 3.667 Å
α = 90.00°, β = 90.00°, γ = 90.00°
Fractional coordinates of all 10 atoms:
Pb1 0.000 0.000 0.000
Pb2 0.500 0.500 0.000
Ni1 0.881 0.619 0.000
Ni2 0.119 0.381 0.000
Ni3 0.619 0.119 0.000
Ni4 0.381 0.881 0.000
Bi1 0.840 0.340 0.500
Bi2 0.340 0.160 0.500
Bi3 0.160 0.660 0.500
Bi4 0.660 0.840 0.500

crystal system = tetragonal
DOS at the Fermi energy = 0.692 states/eV/atom
SG = P4/mbm (127)
formation enthalpy at 0 K = 174 meV per atom
VASP energy = -4.432 eV/atom
total magnetic moment = 0.000 μB per atom
distance to the lowest polymorph of the same formula = 0.74 eV/f.u.

***

(20)
The following is a DFT calculation (PBE) of a relaxed structure of Sm7Cu2Pd2.

a = 6.710 Å, b = 7.316 Å, c = 6.710 Å
α = 90.00°, β = 110.85°, γ = 90.00°
Fractional coordinates of all 11 atoms:
Sm1 0.000 0.000 0.000
Sm2 0.000 0.725 0.500
Sm3 0.500 0.268 0.500
Sm4 0.500 0.275 0.000
Sm5 0.500 0.725 0.000
Sm6 0.000 0.275 0.500
Sm7 0.500 0.732 0.500
Cu1 0.167 0.500 0.167
Cu2 0.833 0.500 0.833
Pd1 0.295 0.000 0.705
Pd2 0.705 0.000 0.295

crystal system = orthorhombic
DOS at the Fermi energy = 1.336 states/eV/atom
SG = Cmmm (65)
formation enthalpy at 0 K = -133 meV per atom
VASP energy = -4.825 eV/atom
total magnetic moment = 0.000 μB per atom

***

no.,calculated density (g/cm3)
1,0.9
2,6.2
3,5.3
4,10.3
5,7.2
6,3.5
7,7.7
8,9.4
9,3.6
10,10.2
11,10.1
12,7.2
13,8.3
14,5.0
15,8.1
16,11.2
17,7.8
18,8.7
19,11.4
20,7.5